(1)
The following is a DFT calculation (PBE-GGA) of Na3Be2AsO6 after structural relaxation.

Summary:
Calculated total energy = -5.60 eV/atom

Cell: 5.2119 5.2119 5.9797 Å, 90.00 90.00 120.00°
With the nearest neighbours (Å) after each atom.
Fractional coordinates of all 12 atoms:
Na 0.3333 0.6667 0.7429  1 Be 2.55, 6 O 2.62
Na 0.6667 0.3333 0.2571  1 Be 2.55, 6 O 2.62
Na 0.0000 0.0000 0.0000  6 O 2.37
Be 0.6667 0.3333 0.6830  3 O 1.53
Be 0.3333 0.6667 0.3170  3 O 1.53
As 0.0000 0.0000 0.5000  6 O 1.87
O 0.6722 0.8361 0.3093  1 Be 1.53
O 0.1639 0.3278 0.3093  1 Be 1.53
O 0.1639 0.8361 0.3093  1 Be 1.53
O 0.8361 0.6722 0.6907  1 Be 1.53
O 0.3278 0.1639 0.6907  1 Be 1.53
O 0.8361 0.1639 0.6907  1 Be 1.53


(2)
The following is a DFT calculation (PBE-GGA) of SrBe2Pt after structural relaxation.

Summary:
ΔH_f (0 K) = -0.05 eV/atom
DOS(E_F) = 2.05 states/eV per cell

Cell: 4.8666 4.8666 4.8666 Å, 130.90 110.47 89.74°
With the nearest neighbours (Å) after each atom.
Fractional coordinates of all 4 atoms:
Sr 0.7500 0.2500 0.5000  8 Be 2.97-3.12
Pt 0.2500 0.7500 0.5000  4 Be 2.29
Be 0.0953 0.0953 0.0000  1 Be 2.13, 2 Pt 2.29
Be 0.4047 0.4047 0.0000  1 Be 2.13, 2 Pt 2.29


(3)
The following is a DFT calculation (PBE-GGA) of Pu4BiSbC after structural relaxation.

Summary:
Calculated total energy = -10.97 eV/atom
DOS(E_F) = 66.54 states/eV per cell

Cell: 6.7643 6.7422 8.8599 Å, 90.00 112.44 90.00°
With the nearest neighbours (Å) after each atom.
Fractional coordinates of all 14 atoms:
Pu 0.9011 0.2500 0.8022  1 C 2.64
Pu 0.4117 0.7500 0.8234  1 C 2.48
Pu 0.0989 0.7500 0.1978  1 C 2.64
Pu 0.5883 0.2500 0.1766  1 C 2.48
Pu 0.5000 0.5000 0.5000  2 C 2.39
Pu 0.0000 0.0000 0.5000  2 C 2.39
Pu 0.5000 0.0000 0.5000  2 C 2.39
Pu 0.0000 0.5000 0.5000  2 C 2.39
Bi 0.1037 0.2500 0.2075  9 Pu 3.32-3.39
Bi 0.8963 0.7500 0.7925  9 Pu 3.32-3.39
Sb 0.6109 0.7500 0.2218  9 Pu 3.26-3.39
Sb 0.3891 0.2500 0.7782  9 Pu 3.26-3.39
C 0.2603 0.7500 0.5205  6 Pu 2.39-2.64
C 0.7397 0.2500 0.4795  6 Pu 2.39-2.64


(4)
The following is a DFT calculation (PBE-GGA) of Ce2InAs after structural relaxation.

Summary:
ΔH_f (0 K) = -0.70 eV/atom
DOS(E_F) = 10.78 states/eV per cell

Cell: 4.0290 4.0290 8.7704 Å, 76.72 76.72 60.00°
With the nearest neighbours (Å) after each atom.
Fractional coordinates of all 4 atoms:
Ce 0.0694 0.0694 0.7916  3 As 2.91
Ce 0.2637 0.2637 0.2090  3 As 2.93
In 0.4998 0.4998 0.5008  6 Ce 3.39
As 0.6671 0.6671 0.9987  6 Ce 2.91-2.93